## CuPSe2 (SCAN)

Data for a crystal of CuPSe2 relaxed with PBEsol.

Lattice parameters (Å, degrees): 7.563 7.563 7.563 28.56 28.56 28.56
Fractional positions:
Cu (0.000, 0.000, 0.000)
P (0.500, 0.500, 0.500)
Se (0.102, 0.102, 0.102)
Se (0.898, 0.898, 0.898)

Computed properties:
Total magnetization ... 0.00 μB per cell
Space group ... R-3m (166)
Density ... 4.8 g cm⁻³
E_form (uncorrected) ... 0.24 eV per atom

## ZnCu2PSe (SCAN)

Data for a crystal of ZnCu2PSe relaxed with PBEsol.

Lattice parameters (Å, degrees): 4.488 4.488 4.411 90.00 90.00 90.00
Fractional positions:
Zn (0.000, 0.000, 0.000)
Cu (0.000, 0.500, 0.000)
Cu (0.500, 0.000, 0.000)
P (0.000, 0.000, 0.500)
Se (0.500, 0.500, 0.500)

Computed properties:
Total magnetization ... 0.00 μB per cell
Space group ... P4/mmm (123)
Density ... 5.7 g cm⁻³
E_form (uncorrected) ... 0.87 eV per atom

## CuSi4P3 (SCAN)

Data for a crystal of CuSi4P3 relaxed with PBEsol.

Lattice parameters (Å, degrees): 11.910 11.910 11.910 18.38 18.38 18.38
Fractional positions:
Cu (0.000, 0.000, 0.000)
Si (0.067, 0.067, 0.067)
Si (0.262, 0.262, 0.262)
Si (0.507, 0.507, 0.507)
Si (0.755, 0.755, 0.755)
P (0.323, 0.323, 0.323)
P (0.571, 0.571, 0.571)
P (0.820, 0.820, 0.820)

Computed properties:
Total magnetization ... 0.00 μB per cell
Space group ... R3m (160)
Density ... 3.0 g cm⁻³
E_form (uncorrected) ... 0.07 eV per atom

## CuSiP2 (SCAN)

Data for a crystal of CuSiP2 relaxed with PBEsol.

Lattice parameters (Å, degrees): 6.308 6.308 6.308 130.97 130.97 71.86
Fractional positions:
Cu (0.000, 0.000, 0.000)
Cu (0.750, 0.250, 0.500)
Si (0.250, 0.750, 0.500)
Si (0.500, 0.500, 0.000)
P (0.121, 0.625, 0.996)
P (0.375, 0.371, 0.496)
P (0.629, 0.125, 0.004)
P (0.875, 0.879, 0.504)

Computed properties:
Total magnetization ... 0.00 μB per cell
Space group ... I-42d (122)
Density ... 3.6 g cm⁻³
E_form (uncorrected) ... -0.16 eV per atom

## CuSiP2 (SCAN)

Data for a crystal of CuSiP2 relaxed with PBEsol.

Lattice parameters (Å, degrees): 3.434 3.434 4.776 90.00 90.00 90.00
Fractional positions:
Cu (0.000, 0.000, 0.000)
Si (0.500, 0.500, 0.000)
P (0.000, 0.000, 0.500)
P (0.500, 0.500, 0.500)

Computed properties:
Total magnetization ... 0.00 μB per cell
Space group ... P4/mmm (123)
Density ... 4.5 g cm⁻³
E_form (uncorrected) ... 0.26 eV per atom

## CuSiP2 (SCAN)

Data for a crystal of CuSiP2 relaxed with PBEsol.

Lattice parameters (Å, degrees): 5.377 5.377 3.696 104.37 104.37 36.60
Fractional positions:
Cu (0.000, 0.000, 0.000)
Si (0.500, 0.500, 0.500)
P (0.169, 0.169, 0.564)
P (0.831, 0.831, 0.436)

Computed properties:
Total magnetization ... 0.00 μB per cell
Space group ... C2/m (12)
Density ... 4.1 g cm⁻³
E_form (uncorrected) ... 0.27 eV per atom

## CuSiP2 (SCAN)

Data for a crystal of CuSiP2 relaxed with PBEsol.

Lattice parameters (Å, degrees): 5.494 5.494 5.494 144.30 142.04 53.09
Fractional positions:
Cu (0.000, 0.000, 0.000)
Si (0.500, 0.500, 0.000)
P (0.330, 0.830, 0.500)
P (0.670, 0.170, 0.500)

Computed properties:
Total magnetization ... 0.00 μB per cell
Space group ... Immm (71)
Density ... 4.3 g cm⁻³
E_form (uncorrected) ... 0.30 eV per atom

## CuSnP2 (SCAN)

Data for a crystal of CuSnP2 relaxed with PBEsol.

Lattice parameters (Å, degrees): 6.743 6.743 6.743 132.07 132.07 70.12
Fractional positions:
Cu (0.000, 0.000, 0.000)
Cu (0.750, 0.250, 0.500)
Sn (0.250, 0.750, 0.500)
Sn (0.500, 0.500, 0.000)
P (0.079, 0.625, 0.954)
P (0.375, 0.329, 0.454)
P (0.671, 0.125, 0.046)
P (0.875, 0.921, 0.546)

Computed properties:
Total magnetization ... 0.00 μB per cell
Space group ... I-42d (122)
Density ... 4.9 g cm⁻³
Formation energy ... -0.007 eV/atom

## Cu4SnP10 (SCAN)

Data for a crystal of Cu4SnP10 relaxed with PBEsol.

Lattice parameters (Å, degrees): 7.195 7.195 7.195 59.87 59.87 59.87
Fractional positions:
Cu (0.000, 0.000, 0.000)
Cu (0.147, 0.620, 0.620)
Cu (0.620, 0.147, 0.620)
Cu (0.620, 0.620, 0.147)
Sn (0.574, 0.574, 0.574)
P (0.001, 0.001, 0.497)
P (0.001, 0.497, 0.001)
P (0.011, 0.497, 0.497)
P (0.124, 0.124, 0.621)
P (0.124, 0.621, 0.124)
P (0.126, 0.126, 0.126)
P (0.497, 0.001, 0.001)
P (0.497, 0.011, 0.497)
P (0.497, 0.497, 0.011)
P (0.621, 0.124, 0.124)

Computed properties:
Total magnetization ... 0.00 μB per cell
Space group ... R3m (160)
Density ... 4.3 g cm⁻³
Formation energy ... -0.169 eV/atom

## CuSn3P (SCAN)

Data for a crystal of CuSn3P relaxed with PBEsol.

Lattice parameters (Å, degrees): 5.030 5.030 5.030 90.00 90.00 90.00
Fractional positions:
Cu (0.000, 0.000, 0.000)
Sn (0.000, 0.500, 0.500)
Sn (0.500, 0.000, 0.500)
Sn (0.500, 0.500, 0.000)
P (0.500, 0.500, 0.500)

Computed properties:
Total magnetization ... 0.00 μB per cell
Space group ... Pm-3m (221)
Density ... 5.9 g cm⁻³
Formation energy ... 0.930 eV/atom

## SrCuP2 (SCAN)

Data for a crystal of SrCuP2 relaxed with PBEsol.

Lattice parameters (Å, degrees): 4.706 4.706 4.706 60.00 60.00 60.00
Fractional positions:
Sr (0.000, 0.000, 0.000)
Cu (0.250, 0.250, 0.250)
P (0.500, 0.500, 0.500)
P (0.750, 0.750, 0.750)

Computed properties:
Total magnetization ... 0.00 μB per cell
Space group ... F-43m (216)
Density ... 4.8 g cm⁻³
Formation energy ... 0.254 eV/atom

## TaCuP (SCAN)

Data for a crystal of TaCuP relaxed with PBEsol.

Lattice parameters (Å, degrees): 4.010 4.010 4.010 60.00 60.00 60.00
Fractional positions:
Ta (0.000, 0.000, 0.000)
Cu (0.750, 0.750, 0.750)
P (0.500, 0.500, 0.500)

Computed properties:
Total magnetization ... 0.01 μB per cell
Space group ... F-43m (216)
Density ... 10.0 g cm⁻³
Formation energy ... 0.572 eV/atom

Question: Among the records above, which one has the lowest density?
Answer: CuSi4P3